Run 1
The following is a PBE-GGA calculation of a relaxed structure of In2PbS2, from Alexandria.

Cell: 3.8645 3.8645 31.9593 Å, 90.00 90.00 120.00°
Closest atoms and distances in Å follow each position.
Space group R-3m (No. 166, hexagonal axes)
Unique sites:
In1 0.0000 0.0000 0.0884  3 S 2.55
Pb1 0.0000 0.0000 0.5000  6 In 3.35
S1 0.0000 0.0000 0.2838  3 In 2.55

* magnetic moment: 0.00 μB/f.u.
* volume: 413 Å³/cell

=====

Run 2
The following is a PBE-GGA calculation of a relaxed structure of In2PbS2, from Alexandria.

Cell: 8.2488 8.2488 3.8726 Å, 90.00 90.00 90.00°
Closest atoms and distances in Å follow each position.
Space group P4/mbm (No. 127)
Unique sites:
In1 0.1307 0.3693 0.0000  2 S 2.71
Pb1 0.0000 0.0000 0.5000  4 S 2.96
S1 0.2062 0.7062 0.5000  2 In 2.71, 2 Pb 2.96

* magnetic moment: 0.00 μB/f.u.
* volume: 264 Å³/cell

=====

Which of them is least stable? Easy: run 2.

=====

Run 1
The following is a PBE-GGA calculation of a relaxed structure of In2SbPb, from Alexandria.

Cell: 3.3633 5.3587 6.5866 Å, 90.00 94.38 90.00°
Closest atoms and distances in Å follow each position.
Space group Pm (No. 6)
Unique sites:
In1 0.0000 0.0000 0.0000  2 Sb 3.19-3.35, 2 Pb 3.30, 6 In 3.31-3.44
In2 0.4879 0.5000 0.1773  2 Sb 3.15, 6 In 3.31-3.44, 1 Pb 3.41
Sb1 0.6086 0.0000 0.4266  4 In 3.15-3.35, 2 Pb 3.34, 2 Sb 3.36
Pb1 0.8640 0.5000 0.7113  5 In 3.30-3.65, 2 Sb 3.34, 2 Pb 3.36

* magnetic moment: 0.00 μB/f.u.
* volume: 118 Å³/cell

=====

Run 2
The following is a PBE-GGA calculation of a relaxed structure of In2SbPb, from Alexandria.

Cell: 4.8106 4.8106 5.0165 Å, 90.00 90.00 90.00°
Closest atoms and distances in Å follow each position.
Space group P4/mmm (No. 123)
Unique sites:
In1 0.0000 0.5000 0.0000  4 In 3.40, 4 Pb 3.48, 4 Sb 3.48
Sb1 0.0000 0.0000 0.5000  4 Pb 3.40, 8 In 3.48
Pb1 0.5000 0.5000 0.5000  4 Sb 3.40, 8 In 3.48

* magnetic moment: 0.00 μB/f.u.
* volume: 116 Å³/cell

=====

Run 3
The following is a PBE-GGA calculation of a relaxed structure of In2SbPb, from Alexandria.

Cell: 3.4911 3.4911 32.6578 Å, 90.00 90.00 120.00°
Closest atoms and distances in Å follow each position.
Space group R3m (No. 160, hexagonal axes)
Unique sites:
In1 0.0000 0.0000 0.0000  9 In 3.36-3.49, 3 Pb 3.51
In2 0.0000 0.0000 0.2509  3 Sb 3.27, 9 In 3.36-3.49
Sb1 0.0000 0.0000 0.5053  3 In 3.27, 3 Pb 3.41, 6 Sb 3.49
Pb1 0.0000 0.0000 0.7545  3 Sb 3.41, 6 Pb 3.49, 3 In 3.51

* magnetic moment: 0.00 μB/f.u.
* volume: 345 Å³/cell

=====

Which of them is least stable? Easy: run 3.

=====

Run 1
The following is a PBE-GGA calculation of a relaxed structure of In2SbPb, from Alexandria.

Cell: 4.4294 5.2546 9.8347 Å, 90.00 90.00 90.00°
Closest atoms and distances in Å follow each position.
Space group Cmm2 (No. 35)
Unique sites:
In1 0.0000 0.0000 0.0000  8 In 3.25-3.55, 2 Pb 3.37
In2 0.0000 0.5000 0.2421  4 Sb 3.23-3.52, 8 In 3.25-3.55
Sb1 0.0000 0.0000 0.4808  4 In 3.23-3.52, 2 Pb 3.39, 4 Sb 3.44
Pb1 0.0000 0.5000 0.7413  4 In 3.37-3.66, 4 Sb 3.39-3.67, 4 Pb 3.44

* magnetic moment: 0.00 μB/f.u.
* volume: 229 Å³/cell

=====

Run 2
The following is a PBE-GGA calculation of a relaxed structure of In2SbPb, from Alexandria.

Cell: 7.7632 7.7632 7.7632 Å, 90.00 90.00 90.00°
Closest atoms and distances in Å follow each position.
Space group F-43m (No. 216)
Unique sites:
In1 0.0000 0.0000 0.0000  4 In 3.36, 4 Pb 3.36
In2 0.2500 0.2500 0.2500  4 In 3.36, 4 Sb 3.36
Sb1 0.0000 0.0000 0.5000  4 In 3.36, 4 Pb 3.36
Pb1 0.2500 0.2500 0.7500  4 In 3.36, 4 Sb 3.36

* magnetic moment: 0.00 μB/f.u.
* volume: 468 Å³/cell

=====

Run 3
The following is a PBE-GGA calculation of a relaxed structure of In2SbPb, from Alexandria.

Cell: 6.8529 6.8529 13.0331 Å, 90.00 90.00 90.00°
Closest atoms and distances in Å follow each position.
Space group I-42d (No. 122)
Unique sites:
In1 0.2400 0.2500 0.1250  2 Sb 2.88, 2 Pb 2.96
Sb1 0.0000 0.0000 0.0000  4 In 2.88
Pb1 0.0000 0.0000 0.5000  4 In 2.96

* magnetic moment: 0.00 μB/f.u.
* volume: 612 Å³/cell

=====

Which of them is least stable? Easy: run 3.

=====

Run 1
The following is a PBE-GGA calculation of a relaxed structure of In2SbPb, from Alexandria.

Cell: 4.3120 5.0925 10.5863 Å, 90.00 90.00 90.00°
Closest atoms and distances in Å follow each position.
Space group Immm (No. 71)
Unique sites:
In1 0.0000 0.0000 0.2372  2 Sb 3.31, 4 In 3.35, 4 Pb 3.52-3.58
Sb1 0.0000 0.5000 0.5000  4 In 3.31, 4 Pb 3.34
Pb1 0.0000 0.5000 0.0000  4 Sb 3.34, 8 In 3.52-3.58

* magnetic moment: 0.00 μB/f.u.
* volume: 232 Å³/cell

=====

Run 2
The following is a PBE-GGA calculation of a relaxed structure of In2SbPb, from Alexandria.

Cell: 6.7928 10.2619 3.3525 Å, 90.00 101.61 90.00°
Closest atoms and distances in Å follow each position.
Space group C2/m (No. 12)
Unique sites:
In1 0.2500 0.2500 0.0000  4 Sb 3.34-3.66, 4 Pb 3.34-3.66, 4 In 3.35-3.40
Sb1 0.0000 0.0000 0.5000  8 In 3.34-3.66, 2 Sb 3.35, 2 Pb 3.40
Pb1 0.0000 0.5000 0.5000  8 In 3.34-3.66, 2 Pb 3.35, 2 Sb 3.40

* magnetic moment: 0.00 μB/f.u.
* volume: 229 Å³/cell

=====

Which of them is least stable? Easy: run 2.